1.
TlPPt2 (GGA-PBEsol, optimized geometry); symmetry = I-4m2, No. 119; excess energy over the best structure of this formula in the dataset = 0.380 eV/atom
1.0
-1.949 1.949 4.374
1.949 -1.949 4.374
1.949 1.949 -4.374
Tl P Pt
1 1 2
Direct
0.000 0.000 0.000
0.750 0.250 0.500
0.250 0.750 0.500
0.500 0.500 0.000

=====

2.
P2PtW (GGA-PBEsol, optimized geometry); symmetry = P4mm, No. 99; excess energy over the best structure of this formula in the dataset = 0.036 eV/atom
1.0
3.336 0.000 0.000
0.000 3.336 0.000
0.000 0.000 5.089
P Pt W
2 1 1
Direct
0.000 0.000 0.000
0.500 0.500 0.343
0.000 0.000 0.470
0.500 0.500 0.838

=====

3.
P2PtW (GGA-PBEsol, optimized geometry); symmetry = F-43m, No. 216; excess energy over the best structure of this formula in the dataset = 0.729 eV/atom
1.0
0.000 3.081 3.081
3.081 0.000 3.081
3.081 3.081 0.000
P Pt W
2 1 1
Direct
0.000 0.000 0.000
0.250 0.250 0.250
0.750 0.750 0.750
0.500 0.500 0.500

=====

4.
P2PtW (GGA-PBEsol, optimized geometry); symmetry = Pmmm, No. 47; excess energy over the best structure of this formula in the dataset = 0.123 eV/atom
1.0
2.891 0.000 0.000
0.000 3.072 0.000
0.000 0.000 6.710
P Pt W
2 1 1
Direct
0.000 0.000 0.212
0.000 0.000 0.788
0.500 0.000 0.500
0.500 0.500 0.000

=====

5.
PPtW2 (GGA-PBEsol, optimized geometry); symmetry = Cmm2, No. 35
1.0
1.701 -2.187 0.000
1.701 2.187 0.000
0.000 0.000 8.023
P Pt W
1 1 2
Direct
0.000 0.000 0.000
0.500 0.500 0.753
0.000 0.000 0.495
0.500 0.500 0.228

=====

6.
P2PtW (GGA-PBEsol, optimized geometry); symmetry = Amm2, No. 38; excess energy over the best structure of this formula in the dataset = 0.000 eV/atom
1.0
4.482 0.000 0.000
0.000 1.795 3.997
0.000 -1.795 3.997
P Pt W
2 1 1
Direct
0.000 0.000 0.000
0.500 0.177 0.177
0.500 0.869 0.869
0.000 0.306 0.306

=====

Number 1: energy of formation 216 meV per atom, theoretical density 15.63 g/cm³. Number 2: energy of formation -246 meV per atom, theoretical density 12.92 g/cm³. Number 3: energy of formation 447 meV per atom, theoretical density 12.51 g/cm³. Number 4: energy of formation -159 meV per atom, theoretical density 12.29 g/cm³. Number 5: energy of formation 152 meV per atom, theoretical density 16.52 g/cm³. Number 6: energy of formation -283 meV per atom, theoretical density 11.38 g/cm³.